! GGA-PBE Ni2WSe, relaxed; values from VASP
&SYSTEM
  ibrav = 0, nat = 4, ntyp = 3
/
ATOMIC_SPECIES
Ni 58.69 Ni.upf
W 183.84 W.upf
Se 78.96 Se.upf
CELL_PARAMETERS angstrom
3.104 0.000 0.000
0.000 3.104 0.000
0.000 0.000 5.584
ATOMIC_POSITIONS crystal
Ni 0.000 0.000 0.022
Ni 0.500 0.500 0.234
W 0.500 0.500 0.761
Se 0.000 0.000 0.483
! * space group: No. 99
! * E_form (uncorrected): 0.178 eV per atom